(1)
This record from Alexandria describes crystalline LiAlC at its relaxed geometry. The functional is PBE.

```
data_LiAlC
_chemical_formula_sum 'Li6 Al6 C6'
_symmetry_space_group_name_H-M 'I m m 2'
_symmetry_Int_Tables_number 44
_symmetry_space_group_name_Hall 'I 2 -2'
_cell_length_a 3.483
_cell_length_b 10.552
_cell_length_c 5.057
_cell_angle_alpha 90.00
_cell_angle_beta 90.00
_cell_angle_gamma 90.00
loop_
_atom_site_label
_atom_site_type_symbol
_atom_site_fract_x
_atom_site_fract_y
_atom_site_fract_z
Li1 Li 0.000 0.000 0.000
Li2 Li 0.000 0.356 0.433
Al1 Al 0.000 0.000 0.491
Al2 Al 0.000 0.317 0.936
C1 C 0.000 0.173 0.668
C2 C 0.000 0.500 0.767
```

Crystal system   orthorhombic
Energy of formation   -0.386 eV/f.u.

(2)
This record from Alexandria describes crystalline Ta2NiRh at its relaxed geometry. The functional is PBE.

```
data_Ta2NiRh
_chemical_formula_sum 'Ta2 Ni1 Rh1'
_symmetry_space_group_name_H-M 'P 1 m 1'
_symmetry_Int_Tables_number 6
_symmetry_space_group_name_Hall 'P -2y'
_cell_length_a 2.813
_cell_length_b 4.528
_cell_length_c 4.853
_cell_angle_alpha 90.00
_cell_angle_beta 95.34
_cell_angle_gamma 90.00
loop_
_atom_site_label
_atom_site_type_symbol
_atom_site_fract_x
_atom_site_fract_y
_atom_site_fract_z
Ta1 Ta 0.000 0.000 0.000
Ta2 Ta 0.172 0.500 0.619
Ni1 Ni 0.575 0.500 0.128
Rh1 Rh 0.591 0.000 0.481
```

Crystal system   monoclinic
Energy of formation   -1.251 eV/f.u.

Calculated volume in A^3/atom, matching the order above: 10.33, 15.39